Computed, not measured: a crystal of TiSb2 relaxed with PBEsol at the SCAN level of DFT.

a = 6.6364 Å, b = 6.6364 Å, c = 5.7103 Å
α = 90.00°, β = 90.00°, γ = 90.00°
With the nearest neighbours (Å) after each atom.
Space group I4/mcm (No. 140)
Inequivalent atoms, fractional coordinates:
Ti1 0.0000 0.0000 0.2500  2 Ti 2.86, 8 Sb 2.89
Sb1 0.1531 0.3469 0.0000  1 Sb 2.87, 4 Ti 2.89

Output
crystal system	tetragonal

***

Computed, not measured: a crystal of Ti13Sb3 relaxed with PBEsol at the SCAN level of DFT.

a = 4.6852 Å, b = 5.6296 Å, c = 10.3207 Å
α = 90.00°, β = 90.00°, γ = 90.00°
With the nearest neighbours (Å) after each atom.
Space group Pmm2 (No. 25)
Inequivalent atoms, fractional coordinates:
Ti1 0.0000 0.0000 0.0000  4 Sb 2.82, 8 Ti 2.92-3.00
Ti2 0.0000 0.0000 0.4858  12 Ti 2.78-2.96
Ti3 0.0000 0.2376 0.7415  9 Ti 2.67-2.98, 3 Sb 2.92
Ti4 0.0000 0.2557 0.2551  9 Ti 2.75-3.00, 2 Sb 2.95
Ti5 0.0000 0.5000 0.4989  10 Ti 2.82-2.92, 2 Sb 2.83
Ti6 0.5000 0.0000 0.6383  2 Sb 2.82, 10 Ti 2.82-2.95
Ti7 0.5000 0.2380 0.8931  8 Ti 2.68-2.96, 4 Sb 2.88-2.98
Ti8 0.5000 0.2572 0.3941  10 Ti 2.73-2.94, 2 Sb 2.89-3.00
Ti9 0.5000 0.5000 0.1416  4 Sb 2.82-2.84, 8 Ti 2.94-2.96
Sb1 0.0000 0.5000 0.9859  12 Ti 2.82-3.10
Sb2 0.5000 0.0000 0.1514  12 Ti 2.82-2.98
Sb3 0.5000 0.5000 0.6529  12 Ti 2.82-3.00

Output
crystal system	orthorhombic

***

Computed, not measured: a crystal of TiTl2Sb relaxed with PBEsol at the SCAN level of DFT.

a = 7.3201 Å, b = 7.3201 Å, c = 7.3201 Å
α = 90.00°, β = 90.00°, γ = 90.00°
With the nearest neighbours (Å) after each atom.
Space group Fm-3m (No. 225)
Inequivalent atoms, fractional coordinates:
Ti1 0.0000 0.0000 0.0000  8 Tl 3.17
Tl1 0.2500 0.2500 0.2500  4 Sb 3.17, 4 Ti 3.17
Sb1 0.0000 0.0000 0.5000  8 Tl 3.17

Output
crystal system	cubic

***

Computed, not measured: a crystal of Ti3SbW relaxed with PBEsol at the SCAN level of DFT.

a = 4.7214 Å, b = 4.7214 Å, c = 4.7214 Å
α = 90.00°, β = 90.00°, γ = 90.00°
With the nearest neighbours (Å) after each atom.
Space group Pm-3m (No. 221)
Inequivalent atoms, fractional coordinates:
Ti1 0.0000 0.0000 0.5000  2 W 2.36
Sb1 0.5000 0.5000 0.5000  12 Ti 3.34
W1 0.0000 0.0000 0.0000  6 Ti 2.36

Output
crystal system	cubic

***

Computed, not measured: a crystal of TiZnSb3 relaxed with PBEsol at the SCAN level of DFT.

a = 5.1670 Å, b = 5.1670 Å, c = 5.1670 Å
α = 90.00°, β = 90.00°, γ = 90.00°
With the nearest neighbours (Å) after each atom.
Space group Pm-3m (No. 221)
Inequivalent atoms, fractional coordinates:
Ti1 0.0000 0.0000 0.0000  6 Sb 2.58
Zn1 0.5000 0.5000 0.5000  12 Sb 3.65
Sb1 0.0000 0.0000 0.5000  2 Ti 2.58

Output
distance to the lowest polymorph of the same formula	0	meV/atom
crystal system	cubic

***

Computed, not measured: a crystal of Ti3ZnSb relaxed with PBEsol at the SCAN level of DFT.

a = 4.9292 Å, b = 4.9292 Å, c = 4.9292 Å
α = 90.00°, β = 90.00°, γ = 90.00°
With the nearest neighbours (Å) after each atom.
Space group Pm-3m (No. 221)
Inequivalent atoms, fractional coordinates:
Ti1 0.0000 0.0000 0.5000  2 Sb 2.46
Zn1 0.5000 0.5000 0.5000  12 Ti 3.49
Sb1 0.0000 0.0000 0.0000  6 Ti 2.46

Output
crystal system	cubic

***

Computed, not measured: a crystal of TiZn3Sb relaxed with PBEsol at the SCAN level of DFT.

a = 5.0331 Å, b = 5.0331 Å, c = 5.0331 Å
α = 90.00°, β = 90.00°, γ = 90.00°
With the nearest neighbours (Å) after each atom.
Space group Pm-3m (No. 221)
Inequivalent atoms, fractional coordinates:
Ti1 0.0000 0.0000 0.0000  12 Zn 3.56
Zn1 0.0000 0.5000 0.5000  2 Sb 2.52
Sb1 0.5000 0.5000 0.5000  6 Zn 2.52

Output
crystal system	cubic

***

Computed, not measured: a crystal of TiZnSb3 relaxed with PBEsol at the SCAN level of DFT.

a = 5.0873 Å, b = 5.0873 Å, c = 5.0873 Å
α = 90.00°, β = 90.00°, γ = 90.00°
With the nearest neighbours (Å) after each atom.
Space group Pm-3m (No. 221)
Inequivalent atoms, fractional coordinates:
Ti1 0.0000 0.0000 0.0000  12 Sb 3.60
Zn1 0.5000 0.5000 0.5000  6 Sb 2.54
Sb1 0.0000 0.5000 0.5000  2 Zn 2.54

Output
distance to the lowest polymorph of the same formula	399	meV/atom
crystal system	cubic

***

Computed, not measured: a crystal of Zr3TiSb relaxed with PBEsol at the SCAN level of DFT.

a = 5.1990 Å, b = 5.1990 Å, c = 5.1990 Å
α = 90.00°, β = 90.00°, γ = 90.00°
With the nearest neighbours (Å) after each atom.
Space group Pm-3m (No. 221)
Inequivalent atoms, fractional coordinates:
Zr1 0.0000 0.0000 0.5000  2 Sb 2.60
Ti1 0.5000 0.5000 0.5000  12 Zr 3.68
Sb1 0.0000 0.0000 0.0000  6 Zr 2.60

Output
crystal system	cubic

***

Computed, not measured: a crystal of Zr2TiSb2 relaxed with PBEsol at the SCAN level of DFT.

a = 4.0980 Å, b = 4.0980 Å, c = 13.5820 Å
α = 90.00°, β = 90.00°, γ = 90.00°
With the nearest neighbours (Å) after each atom.
Space group I4/mmm (No. 139)
Inequivalent atoms, fractional coordinates:
Zr1 0.0000 0.5000 0.2500  4 Sb 2.88, 4 Zr 2.90
Ti1 0.0000 0.0000 0.0000  8 Sb 3.21
Sb1 0.0000 0.0000 0.3990  1 Sb 2.74, 4 Zr 2.88

Output
crystal system	tetragonal

***

Computed, not measured: a crystal of Tl3Sb relaxed with PBEsol at the SCAN level of DFT.

a = 4.9488 Å, b = 4.9488 Å, c = 9.2758 Å
α = 90.00°, β = 90.00°, γ = 90.00°
With the nearest neighbours (Å) after each atom.
Space group I4/mmm (No. 139)
Inequivalent atoms, fractional coordinates:
Tl1 0.0000 0.0000 0.0000  8 Tl 3.39, 4 Sb 3.50
Tl2 0.0000 0.5000 0.2500  8 Tl 3.39-3.50, 4 Sb 3.39
Sb1 0.0000 0.0000 0.5000  12 Tl 3.39-3.50

Output
crystal system	tetragonal

***

Computed, not measured: a crystal of TlSb relaxed with PBEsol at the SCAN level of DFT.

a = 12.8648 Å, b = 4.0185 Å, c = 6.8687 Å
α = 90.00°, β = 105.70°, γ = 90.00°
With the nearest neighbours (Å) after each atom.
Space group Cm (No. 8)
Inequivalent atoms, fractional coordinates:
Tl1 0.0000 0.0000 0.0000  4 Tl 3.27-3.60, 6 Sb 3.34-3.61
Tl2 0.0075 0.0000 0.5274  4 Tl 3.27-3.60, 5 Sb 3.40-3.59
Tl3 0.3421 0.0000 0.1884  6 Sb 3.27-3.52, 4 Tl 3.36
Sb1 0.1729 0.5000 0.3444  3 Sb 3.07-3.26, 6 Tl 3.34-3.43
Sb2 0.1780 0.5000 0.8724  3 Sb 3.12-3.26, 6 Tl 3.27-3.41
Sb3 0.2973 0.0000 0.6596  4 Sb 3.07-3.12

Output
crystal system	monoclinic

***

no.,ΔE_f (raw) (eV/atom)
1,-0.42
2,-0.29
3,0.35
4,0.63
5,0.30
6,0.88
7,0.98
8,0.70
9,0.75
10,-0.10
11,0.01
12,0.08